1.
A relaxed Au2F crystal. Source: the Open Quantum Materials Database, functional PBE.

a b c (Å): 5.350 5.350 5.350
angles (deg): 60.00 60.00 60.00
Sites, in units of the cell vectors:
Au1 0.625 0.625 0.625
Au2 0.125 0.625 0.625
Au3 0.625 0.625 0.125
Au4 0.625 0.125 0.625
F1 0.250 0.250 0.250
F2 0.000 0.000 0.000

Calculated values
**Volume**: 108.3 Å³ per cell
**Space group**: Fd-3m (227)
**Calculated total energy**: -0.201 Ry/atom



2.
A relaxed Sc4CdFeC2 crystal. Source: the Open Quantum Materials Database, functional PBE.

a b c (Å): 3.289 3.289 14.620
angles (deg): 90.00 90.00 120.00
Each line ends with the local moment (μB).
Sites, in units of the cell vectors:
Sc1 0.667 0.333 0.812  0.00
Sc2 0.000 0.000 0.358  -0.20
Sc3 0.000 0.000 0.642  -0.20
Sc4 0.667 0.333 0.188  0.00
Fe1 0.667 0.333 0.500  2.31
C1 0.333 0.667 0.732  0.02
C2 0.333 0.667 0.268  0.02
Cd1 0.000 0.000 0.000  0.02

Calculated values
**Total moment**: 0.225 μB per atom
**Volume**: 137.0 Å³ per cell
**Space group**: P-6m2 (187)
**Calculated total energy**: -0.505 Ry/atom



3.
A relaxed Gd4Er4B3 crystal. Source: the Open Quantum Materials Database, functional PBE.

a b c (Å): 3.784 4.610 15.572
angles (deg): 93.96 93.62 95.85
Sites, in units of the cell vectors:
Gd1 0.060 0.291 0.425
Gd2 0.477 0.729 0.072
Gd3 0.523 0.271 0.928
Gd4 0.940 0.709 0.575
B1 0.456 0.865 0.463
B2 0.000 0.000 0.000
B3 0.544 0.135 0.537
Er1 0.468 0.225 0.702
Er2 0.022 0.222 0.167
Er3 0.532 0.775 0.298
Er4 0.978 0.778 0.833

Calculated values
**Total moment**: 0.003 μB per atom
**Volume**: 269.0 Å³ per cell
**Space group**: P-1 (2)
**Calculated total energy**: -0.373 Ry/atom



4.
A relaxed IrC4 crystal. Source: the Open Quantum Materials Database, functional PBE.

a b c (Å): 4.891 7.449 9.181
angles (deg): 90.00 90.00 90.00
Sites, in units of the cell vectors:
Ir1 0.625 0.368 0.935
Ir2 0.625 0.132 0.435
Ir3 0.875 0.868 0.935
Ir4 0.375 0.868 0.565
Ir5 0.875 0.632 0.435
Ir6 0.125 0.368 0.565
Ir7 0.375 0.632 0.065
Ir8 0.125 0.132 0.065
C1 0.553 0.308 0.252
C2 0.697 0.920 0.240
C3 0.228 0.457 0.885
C4 0.470 0.810 0.883
C5 0.470 0.690 0.383
C6 0.053 0.308 0.248
C7 0.303 0.080 0.760
C8 0.553 0.192 0.752
C9 0.970 0.810 0.617
C10 0.947 0.692 0.752
C11 0.803 0.420 0.240
C12 0.197 0.580 0.760
C13 0.947 0.808 0.252
C14 0.272 0.543 0.385
C15 0.228 0.043 0.385
C16 0.728 0.043 0.115
C17 0.772 0.957 0.615
C18 0.530 0.310 0.617
C19 0.530 0.190 0.117
C20 0.803 0.080 0.740
C21 0.030 0.190 0.383
C22 0.447 0.808 0.248
C23 0.447 0.692 0.748
C24 0.272 0.957 0.885
C25 0.772 0.543 0.115
C26 0.697 0.580 0.740
C27 0.053 0.192 0.748
C28 0.197 0.920 0.260
C29 0.728 0.457 0.615
C30 0.030 0.310 0.883
C31 0.970 0.690 0.117
C32 0.303 0.420 0.260

Calculated values
**Total moment**: 0.000 μB per atom
**Volume**: 334.5 Å³ per cell
**Space group**: Pbca (61)
**Calculated total energy**: -0.619 Ry/atom



5.
A relaxed LiYOsW crystal. Source: the Open Quantum Materials Database, functional PBE.

a b c (Å): 4.617 4.617 4.617
angles (deg): 60.00 60.00 60.00
Sites, in units of the cell vectors:
Li1 0.750 0.750 0.750
W1 0.500 0.500 0.500
Os1 0.000 0.000 0.000
Y1 0.250 0.250 0.250

Calculated values
**Total moment**: 0.441 μB per atom
**Volume**: 69.6 Å³ per cell
**Space group**: F-43m (216)
**ΔE to the lowest computed polymorph**: 0.711 eV per atom



6.
A relaxed CsNa3Cu2P2 crystal. Source: the Open Quantum Materials Database, functional PBE.

a b c (Å): 6.344 5.203 6.358
angles (deg): 90.00 109.81 90.00
Sites, in units of the cell vectors:
Cu1 0.020 0.251 0.971
Cu2 0.020 0.749 0.971
Na1 0.723 0.500 0.531
Na2 0.492 0.000 0.152
Na3 0.559 0.500 0.901
P1 0.300 0.500 0.182
P2 0.727 0.000 0.781
Cs1 0.159 0.000 0.511

Calculated values
**Volume**: 197.5 Å³ per cell
**Space group**: Pm (6)
**ΔE to the lowest computed polymorph**: 0.000 eV per atom



7.
A relaxed CdInOs2 crystal. Source: the Open Quantum Materials Database, functional PBE.

a b c (Å): 4.591 4.591 4.591
angles (deg): 60.00 60.00 60.00
Each line ends with the local moment (μB).
Sites, in units of the cell vectors:
Cd1 0.250 0.250 0.250  0.01
Os1 0.750 0.750 0.750  0.30
Os2 0.000 0.000 0.000  0.50
In1 0.500 0.500 0.500  0.02

Calculated values
**Total moment**: 0.228 μB per atom
**Volume**: 68.4 Å³ per cell
**Space group**: F-43m (216)
**Calculated total energy**: -0.421 Ry/atom



8.
A relaxed SrMgFeTe crystal. Source: the Open Quantum Materials Database, functional PBE.

a b c (Å): 5.305 5.305 5.305
angles (deg): 60.00 60.00 60.00
Sites, in units of the cell vectors:
Te1 0.500 0.500 0.500
Mg1 0.750 0.750 0.750
Sr1 0.250 0.250 0.250
Fe1 0.000 0.000 0.000

Calculated values
**Total moment**: 0.600 μB per atom
**Volume**: 105.6 Å³ per cell
**Space group**: F-43m (216)
**ΔE to the lowest computed polymorph**: 0.000 eV per atom



- Which of these has the lowest volume?
  CdInOs2